This record from the Alexandria database describes RbVSnO5 after structural relaxation. The functional is PBE with a Hubbard U.

For the calculated total energy, the calculation gives -6.445 eV/atom. The calculation puts the density of states at the Fermi level at 0.0000 states/eV/atom. As for the crystal system: monoclinic. The calculated density comes out at 4.48 g/cm3.

Unit cell a=6.1556 b=6.1556 c=7.5322 alpha=104.43 beta=104.43 gamma=106.64
With the nearest neighbours (Å) after each atom.
Atoms (fractional coordinates):
Rb (0.1625, 0.8375, 0.7500)  7 O 2.68-2.88
Rb (0.8375, 0.1625, 0.2500)  7 O 2.68-2.88
V (0.1917, 0.8083, 0.2500)  4 O 1.75-1.76
V (0.8083, 0.1917, 0.7500)  4 O 1.75-1.76
Sn (0.5000, 0.5000, 0.0000)  6 O 1.99-2.22
Sn (0.5000, 0.5000, 0.5000)  6 O 1.99-2.22
O (0.1087, 0.2804, 0.8992)  1 V 1.75
O (0.2155, 0.6170, 0.3860)  1 V 1.76
O (0.2804, 0.1087, 0.3992)  1 V 1.75
O (0.3830, 0.7845, 0.1140)  1 V 1.76
O (0.4344, 0.5656, 0.7500)  2 Sn 1.99
O (0.5656, 0.4344, 0.2500)  2 Sn 1.99
O (0.6170, 0.2155, 0.8860)  1 V 1.76
O (0.7196, 0.8913, 0.6008)  1 V 1.75
O (0.7845, 0.3830, 0.6140)  1 V 1.76
O (0.8913, 0.7196, 0.1008)  1 V 1.75